A | Density functional theory data (PBE) for crystalline CsTi2Bi2 at its relaxed geometry.

```
5
Lattice="-2.2418 2.2418 8.4732 2.2418 -2.2418 8.4732 2.2418 2.2418 -8.4732" Properties=species:S:1:pos:R:3 pbc="T T T"
Cs 0.0000 0.0000 0.0000
Ti 2.2418 0.0000 4.2366
Ti 0.0000 2.2418 4.2366
Bi 0.0000 0.0000 6.0699
Bi 0.0000 0.0000 10.8765
```

Calculated values
Magnetization: 3.000 μB/f.u.

---

B | Density functional theory data (PBE) for crystalline CsTi2Bi2 at its relaxed geometry.

```
10
Lattice="9.6443 0.0000 0.0000 0.0000 9.6443 0.0000 0.0000 0.0000 3.5568" Properties=species:S:1:pos:R:3 pbc="T T T"
Cs 0.0000 0.0000 0.0000
Cs 4.8221 4.8221 0.0000
Ti 0.8947 3.9275 1.7784
Ti 3.9275 8.7496 1.7784
Ti 5.7168 0.8947 1.7784
Ti 8.7496 5.7168 1.7784
Bi 1.4509 6.2731 0.0000
Bi 3.3712 1.4509 0.0000
Bi 6.2731 8.1934 0.0000
Bi 8.1934 3.3712 0.0000
```

Calculated values
Magnetization: 3.423 μB/f.u.

---

Short version: A is the most stable of them.

---

A | Density functional theory data (PBE) for crystalline CsTiBi2 at its relaxed geometry.

```
4
Lattice="2.1666 1.2509 8.9279 -2.1666 1.2509 8.9279 0.0000 -2.5018 8.9279" Properties=species:S:1:pos:R:3 pbc="T T T"
Cs 0.0000 0.0000 0.0000
Ti 0.0000 0.0000 22.2528
Bi 0.0000 0.0000 5.8808
Bi 0.0000 0.0000 11.8695
```

Calculated values
Magnetization: 0.000 μB/f.u.

---

B | Density functional theory data (PBE) for crystalline CsTiBi2 at its relaxed geometry.

```
4
Lattice="0.0000 3.9786 3.9786 3.9786 0.0000 3.9786 3.9786 3.9786 0.0000" Properties=species:S:1:pos:R:3 pbc="T T T"
Cs 0.0000 0.0000 0.0000
Ti 3.9786 3.9786 3.9786
Bi 1.9893 1.9893 1.9893
Bi 5.9679 5.9679 5.9679
```

Calculated values
Magnetization: 0.000 μB/f.u.

---

Short version: A is the most stable of them.

---

A | Density functional theory data (PBE) for crystalline Cs2TiBi2 at its relaxed geometry.

```
10
Lattice="7.7692 0.0000 0.0000 0.0000 7.7692 0.0000 0.0000 0.0000 6.6027" Properties=species:S:1:pos:R:3 pbc="T T T"
Cs 1.3154 2.5692 0.0000
Cs 2.5692 6.4538 0.0000
Cs 5.2000 1.3154 0.0000
Cs 6.4538 5.2000 0.0000
Ti 0.0000 0.0000 3.3014
Ti 3.8846 3.8846 3.3014
Bi 1.1477 5.0323 3.3014
Bi 2.7369 1.1477 3.3014
Bi 5.0323 6.6215 3.3014
Bi 6.6215 2.7369 3.3014
```

Calculated values
Magnetization: 1.963 μB/f.u.

---

B | Density functional theory data (PBE) for crystalline Cs2TiBi2 at its relaxed geometry.

```
5
Lattice="-1.8835 4.7937 6.0404 1.8835 -4.7937 6.0404 1.8835 4.7937 -6.0404" Properties=species:S:1:pos:R:3 pbc="T T T"
Cs 0.0000 0.0000 2.3316
Cs 0.0000 0.0000 9.7492
Ti 0.0000 4.7937 0.0000
Bi 1.8835 2.6303 0.0000
Bi 0.0000 2.1634 6.0404
```

Calculated values
Magnetization: 1.365 μB/f.u.

---

Short version: B is the most stable of them.

---

A | Density functional theory data (PBE) for crystalline Cs2TlBi2 at its relaxed geometry.

```
10
Lattice="8.5307 0.0000 0.0000 0.0000 8.5307 0.0000 0.0000 0.0000 6.3749" Properties=species:S:1:pos:R:3 pbc="T T T"
Cs 1.4483 2.8170 0.0000
Cs 2.8170 7.0824 0.0000
Cs 5.7137 1.4483 0.0000
Cs 7.0824 5.7137 0.0000
Tl 0.0000 0.0000 3.1874
Tl 4.2653 4.2653 3.1874
Bi 1.0890 5.3544 3.1874
Bi 3.1763 1.0890 3.1874
Bi 5.3544 7.4416 3.1874
Bi 7.4416 3.1763 3.1874
```

Calculated values
Magnetization: 0.000 μB/f.u.

---

B | Density functional theory data (PBE) for crystalline Cs2TlBi2 at its relaxed geometry.

```
5
Lattice="6.0648 0.0000 0.0000 0.0000 2.3651 8.2962 0.0000 -2.3651 8.2962" Properties=species:S:1:pos:R:3 pbc="T T T"
Cs 0.0000 0.0000 0.0000
Cs 0.0000 0.0000 3.9086
Tl 3.0324 0.0000 13.3724
Bi 3.0324 0.0000 6.9852
Bi 3.0324 0.0000 10.2379
```

Calculated values
Magnetization: 0.000 μB/f.u.

---

C | Density functional theory data (PBE) for crystalline Cs2TlBi2 at its relaxed geometry.

```
10
Lattice="6.1920 -4.0021 0.0000 6.1920 4.0021 0.0000 -1.6236 0.0000 9.6351" Properties=species:S:1:pos:R:3 pbc="T T T"
Cs 1.6558 1.0679 1.3255
Cs 0.8440 -1.0679 6.1430
Cs 9.9165 1.0679 3.4921
Cs 9.1047 -1.0679 8.3096
Tl 5.7861 0.3918 2.4088
Tl 4.9743 -0.3918 7.2263
Bi 3.7181 1.2667 4.7455
Bi 7.8542 1.2667 0.0720
Bi 2.9063 -1.2667 9.5630
Bi 7.0424 -1.2667 4.8896
```

Calculated values
Magnetization: 0.000 μB/f.u.

---

Short version: C is the most stable of them.

---

A | Density functional theory data (PBE) for crystalline Cs3Tl4Bi4 at its relaxed geometry.

```
11
Lattice="5.3806 0.0000 0.0000 0.0154 5.8440 0.0000 2.6090 2.5171 15.3585" Properties=species:S:1:pos:R:3 pbc="T T T"
Cs 0.0000 0.0000 0.0000
Cs 2.6747 5.9089 4.6256
Cs 5.3304 2.4522 10.7329
Tl 2.6273 4.7465 12.4445
Tl 2.6519 2.7243 7.7795
Tl 5.3532 5.6368 7.5790
Tl 5.3778 3.6146 2.9140
Bi 2.6612 5.5966 9.3627
Bi 2.6911 2.5709 1.4577
Bi 5.3140 5.7902 13.9008
Bi 5.3438 2.7644 5.9958
```

Calculated values
Magnetization: 0.000 μB/f.u.

---

B | Density functional theory data (PBE) for crystalline Cs3Tl4Bi4 at its relaxed geometry.

```
11
Lattice="3.6977 0.0000 0.0000 0.0032 6.7448 0.0000 1.8460 0.4366 17.4475" Properties=species:S:1:pos:R:3 pbc="T T T"
Cs 0.0000 0.0000 0.0000
Cs 1.8517 2.8907 12.3898
Cs 3.6951 4.2906 5.0578
Tl 1.8571 5.1426 8.5319
Tl 1.8466 0.5899 3.2601
Tl 3.7002 6.5914 14.1875
Tl 3.6897 2.0388 8.9156
Bi 1.8403 1.0279 6.3882
Bi 1.8520 3.4843 1.5006
Bi 3.6948 3.6970 15.9470
Bi 3.7066 6.1535 11.0594
```

Calculated values
Magnetization: 0.000 μB/f.u.

---

Short version: A is the most stable of them.

---

A | Density functional theory data (PBE) for crystalline Cs3Tl4Bi2 at its relaxed geometry.

```
9
Lattice="8.3972 -2.4383 0.0000 8.3972 2.4383 0.0000 -3.9548 0.0000 9.9771" Properties=species:S:1:pos:R:3 pbc="T T T"
Cs 0.0000 0.0000 0.0000
Cs 4.2147 0.0000 6.1558
Cs 8.6248 0.0000 3.8213
Tl -0.8134 0.0000 7.2543
Tl 5.5413 0.0000 0.0856
Tl 7.2982 0.0000 9.8916
Tl 13.6529 0.0000 2.7229
Bi 3.1670 0.0000 2.3497
Bi 9.6726 0.0000 7.6275
```

Calculated values
Magnetization: 0.000 μB/f.u.

---

B | Density functional theory data (PBE) for crystalline Cs3Tl4Bi2 at its relaxed geometry.

```
18
Lattice="8.6194 -6.3031 0.0000 8.6194 6.3031 0.0000 -0.5704 0.0000 7.9586" Properties=species:S:1:pos:R:3 pbc="T T T"
Cs 8.1917 5.5009 5.9690
Cs 6.1462 1.2317 2.2096
Cs 5.8610 -1.2317 6.1889
Cs 10.8075 1.2317 1.7698
Cs 10.5223 -1.2317 5.7491
Cs 8.4768 -5.5009 1.9897
Tl 2.7234 1.7239 7.6026
Tl 5.6258 2.6439 5.7742
Tl 3.0086 -1.7239 3.6233
Tl 10.7575 2.6439 6.1637
Tl 5.9110 -2.6439 1.7949
Tl 13.6599 1.7239 4.3354
Tl 11.0427 -2.6439 2.1844
Tl 13.9451 -1.7239 0.3561
Bi 2.8810 1.3477 4.4830
Bi 3.1662 -1.3477 0.5036
Bi 13.5023 1.3477 7.4550
Bi 13.7875 -1.3477 3.4757
```

Calculated values
Magnetization: 0.000 μB/f.u.

---

Short version: A is the most stable of them.

---

A | Density functional theory data (PBE) for crystalline Cs2Tl2Bi at its relaxed geometry.

```
10
Lattice="7.3575 -2.7136 0.0000 7.3575 2.7136 0.0000 -6.5787 0.0000 12.0979" Properties=species:S:1:pos:R:3 pbc="T T T"
Cs -1.0204 0.0000 1.9076
Cs -1.0449 0.0000 7.4985
Cs 9.1812 0.0000 4.5994
Cs 9.1567 0.0000 10.1903
Tl -1.4455 0.0000 11.4965
Tl 3.1306 0.0000 7.3494
Tl 5.0057 0.0000 4.7484
Tl 9.5818 0.0000 0.6013
Bi 3.2963 0.0000 2.1336
Bi 4.8400 0.0000 9.9643
```

Calculated values
Magnetization: 0.000 μB/f.u.

---

B | Density functional theory data (PBE) for crystalline Cs2Tl2Bi at its relaxed geometry.

```
10
Lattice="8.4815 0.0000 0.0000 0.0000 8.4815 0.0000 0.0000 0.0000 6.3282" Properties=species:S:1:pos:R:3 pbc="T T T"
Cs 1.5966 2.6442 0.0000
Cs 2.6442 6.8849 0.0000
Cs 5.8373 1.5966 0.0000
Cs 6.8849 5.8373 0.0000
Tl 1.0980 5.3388 3.1641
Tl 3.1427 1.0980 3.1641
Tl 5.3388 7.3835 3.1641
Tl 7.3835 3.1427 3.1641
Bi 0.0000 0.0000 3.1641
Bi 4.2408 4.2408 3.1641
```

Calculated values
Magnetization: 0.002 μB/f.u.

---

Short version: A is the most stable of them.

---

A | Density functional theory data (PBE) for crystalline Cs2Tl2Bi at its relaxed geometry.

```
10
Lattice="4.2985 -8.4948 0.0000 4.2985 8.4948 0.0000 -3.3680 0.0000 6.8237" Properties=species:S:1:pos:R:3 pbc="T T T"
Cs 0.5604 2.5375 2.0705
Cs 0.5604 -2.5375 2.0705
Cs 4.6687 2.5375 4.7531
Cs 4.6687 -2.5375 4.7531
Tl -1.2800 0.0000 6.0469
Tl 1.5805 0.0000 4.8012
Tl 3.6486 0.0000 2.0225
Tl 6.5092 0.0000 0.7768
Bi 4.2985 2.4822 0.0000
Bi 4.2985 -2.4822 0.0000
```

Calculated values
Magnetization: 0.000 μB/f.u.

---

B | Density functional theory data (PBE) for crystalline Cs2Tl2Bi at its relaxed geometry.

```
5
Lattice="-2.6172 2.6172 8.1270 2.6172 -2.6172 8.1270 2.6172 2.6172 -8.1270" Properties=species:S:1:pos:R:3 pbc="T T T"
Cs 2.6172 0.0000 4.0635
Cs 0.0000 2.6172 4.0635
Tl 0.0000 0.0000 1.4259
Tl 0.0000 0.0000 14.8280
Bi 0.0000 0.0000 8.1270
```

Calculated values
Magnetization: 0.000 μB/f.u.

---

Short version: A is the most stable of them.

---

A | Density functional theory data (PBE) for crystalline CsTlBi2 at its relaxed geometry.

```
4
Lattice="0.0000 4.2350 4.2350 4.2350 0.0000 4.2350 4.2350 4.2350 0.0000" Properties=species:S:1:pos:R:3 pbc="T T T"
Cs 0.0000 0.0000 0.0000
Tl 4.2350 4.2350 4.2350
Bi 2.1175 2.1175 2.1175
Bi 6.3525 6.3525 6.3525
```

Calculated values
Magnetization: 0.000 μB/f.u.

---

B | Density functional theory data (PBE) for crystalline CsTlBi2 at its relaxed geometry.

```
8
Lattice="2.8819 -6.8753 0.0000 2.8819 6.8753 0.0000 0.0000 0.0000 8.3974" Properties=species:S:1:pos:R:3 pbc="T T T"
Cs 2.8819 5.6192 6.2980
Cs 2.8819 -5.6192 2.0993
Tl 2.8819 4.1207 2.0993
Tl 2.8819 -4.1207 6.2980
Bi 2.8819 1.4566 4.7521
Bi 2.8819 1.4566 7.8439
Bi 2.8819 -1.4566 0.5534
Bi 2.8819 -1.4566 3.6453
```

Calculated values
Magnetization: 0.000 μB/f.u.

---

C | Density functional theory data (PBE) for crystalline CsTlBi2 at its relaxed geometry.

```
4
Lattice="1.8512 1.0688 12.4848 -1.8512 1.0688 12.4848 0.0000 -2.1376 12.4848" Properties=species:S:1:pos:R:3 pbc="T T T"
Cs 0.0000 0.0000 0.0000
Tl 0.0000 0.0000 18.7271
Bi 0.0000 0.0000 9.1509
Bi 0.0000 0.0000 28.3034
```

Calculated values
Magnetization: 0.000 μB/f.u.

---

D | Density functional theory data (PBE) for crystalline CsTlBi2 at its relaxed geometry.

```
4
Lattice="6.0375 -2.2487 0.0000 6.0375 2.2487 0.0000 -1.8914 0.0000 6.6929" Properties=species:S:1:pos:R:3 pbc="T T T"
Cs 0.0000 0.0000 0.0000
Tl 5.0918 0.0000 3.3465
Bi 1.6649 0.0000 4.2992
Bi 8.5187 0.0000 2.3938
```

Calculated values
Magnetization: 0.000 μB/f.u.

---

Short version: B is the most stable of them.

---

A | Density functional theory data (PBE) for crystalline CsTl6Bi at its relaxed geometry.

```
8
Lattice="5.4720 0.0000 0.0000 0.0000 3.4442 8.4658 0.0000 -3.4442 8.4658" Properties=species:S:1:pos:R:3 pbc="T T T"
Cs 0.0000 0.0000 0.0000
Tl 0.0000 -1.6538 12.2487
Tl 0.0000 1.6538 12.2487
Tl 2.7360 -1.8202 5.9197
Tl 2.7360 0.0000 2.9743
Tl 2.7360 1.8202 5.9197
Tl 2.7360 0.0000 10.9232
Bi 0.0000 0.0000 6.4997
```

Calculated values
Magnetization: 0.000 μB/f.u.

---

B | Density functional theory data (PBE) for crystalline CsTl6Bi at its relaxed geometry.

```
8
Lattice="5.7160 0.0000 0.0000 0.0000 5.7160 0.0000 0.0000 0.0000 9.2631" Properties=species:S:1:pos:R:3 pbc="T T T"
Cs 0.0000 0.0000 0.0000
Tl 0.0000 2.8580 2.9439
Tl 0.0000 2.8580 6.3193
Tl 2.8580 0.0000 2.9439
Tl 2.8580 0.0000 6.3193
Tl 2.8580 2.8580 1.5206
Tl 2.8580 2.8580 7.7426
Bi 0.0000 0.0000 4.6316
```

Calculated values
Magnetization: 0.000 μB/f.u.

---

Short version: A is the most stable of them.